BaRe2Au: relaxed, PBE-GGA.

As for the formation energy: 1.40 eV/atom. The calculation puts the energy relative to the lowest polymorph listed for this composition at 1042 meV per atom.

The space group is P4/mmm (No. 123) and the conventional cell measures 4.055, 4.055 and 5.240 Å, with angles of 90.00, 90.00 and 90.00 degrees. The asymmetric unit holds Ba at (0.000, 0.000, 0.000), Re at (0.000, 0.500, 0.500) and Au at (0.500, 0.500, 0.000).

=====

V2FeH: relaxed, PBE-GGA.

The calculation puts the energy relative to the lowest polymorph listed for this composition at 408 meV per atom.

The space group is Fm-3m (No. 225) and the conventional cell measures 5.526, 5.526 and 5.526 Å, with angles of 90.00, 90.00 and 90.00 degrees. The asymmetric unit holds V at (0.250, 0.250, 0.250), Fe at (0.000, 0.000, 0.000) and H at (0.000, 0.000, 0.500).

=====

Ce12PmOs4: relaxed, PBE-GGA.

As for the formation energy: 0.09 eV/atom.

The space group is Im-3 (No. 204) and the conventional cell measures 9.806, 9.806 and 9.806 Å, with angles of 90.00, 90.00 and 90.00 degrees. The asymmetric unit holds Ce at (0.000, 0.166, 0.350), Pm at (0.000, 0.000, 0.000) and Os at (0.250, 0.250, 0.250).

=====

TaTiCoCu: relaxed, PBE-GGA.

As for the formation energy: -0.06 eV/atom.

The space group is F-43m (No. 216) and the conventional cell measures 6.130, 6.130 and 6.130 Å, with angles of 90.00, 90.00 and 90.00 degrees. The asymmetric unit holds Ta at (0.000, 0.000, 0.000), Ti at (0.000, 0.000, 0.500), Co at (0.250, 0.250, 0.750) and Cu at (0.250, 0.250, 0.250).

=====

AcPmAg4: relaxed, PBE-GGA.

As for the formation energy: -0.14 eV/atom. The calculation puts the energy relative to the lowest polymorph listed for this composition at 142 meV per atom.

The space group is F-43m (No. 216) and the conventional cell measures 8.326, 8.326 and 8.326 Å, with angles of 90.00, 90.00 and 90.00 degrees. The asymmetric unit holds Ac at (0.000, 0.000, 0.000), Pm at (0.250, 0.250, 0.750) and Ag at (0.124, 0.124, 0.376).

=====

Mg2InAg: relaxed, PBE-GGA.

As for the formation energy: -0.13 eV/atom.

The space group is C2/m (No. 12) and the conventional cell measures 6.419, 7.822 and 3.319 Å, with angles of 90.00, 90.16 and 90.00 degrees. The asymmetric unit holds Mg at (0.250, 0.250, 0.000), In at (0.000, 0.000, 0.500) and Ag at (0.000, 0.500, 0.500).